VASP calculation (GGA-PBE) on a relaxed KMgMo2 crystal.

## Properties
The space group is Pmmm, No. 47. The total magnetic moment is 0.00 Bohr magnetons per cell. For the total energy, the calculation gives -20.7 eV per cell. The value obtained for the volume is 25.5 Å³ per atom. The calculation puts the formation energy at 0.919 eV/atom.

abc: 2.9015 4.6951 7.4845
angles: 90.00 90.00 90.00
Positions (direct):
1 Mg 0.5000 0.5000 0.7500
2 Mo 0.0000 0.0000 0.8969
3 K 0.5000 0.5000 0.2500
4 Mo 0.0000 0.0000 0.6031